Here is a relaxed structure of Ir2RhBr from the Alexandria database. Energies are from GGA-PBE.

Cell lengths 2.8809, 2.8809, 26.4140 Å; angles 90.00, 90.00, 120.00 degrees
With the nearest neighbours (Å) after each atom.
Space group R3m (No. 160, hexagonal axes)
Symmetry-distinct sites (fractional):
Ir 0.0000 0.0000 0.0000 [3 per cell]  9 Ir 2.68-2.88, 3 Rh 2.71
Ir 0.0000 0.0000 0.2538 [3 per cell]  9 Ir 2.68-2.88, 3 Br 2.88
Rh 0.0000 0.0000 0.7478 [3 per cell]  3 Ir 2.71, 3 Br 2.76, 6 Rh 2.88
Br 0.0000 0.0000 0.4980 [3 per cell]  3 Rh 2.76, 6 Br 2.88, 3 Ir 2.88

Calculated values
- ΔE_f (raw) (eV/atom) = 0.57
- relative energy among the computed polymorphs (eV per atom) = 0.111


Here is a relaxed structure of Ce5Si5Pt2 from the Alexandria database. Energies are from GGA-PBE.

Cell lengths 14.7936, 4.1507, 10.7140 Å; angles 90.00, 127.22, 90.00 degrees
With the nearest neighbours (Å) after each atom.
Space group C2/m (No. 12)
Symmetry-distinct sites (fractional):
Ce 0.0000 0.0000 0.0000 [2 per cell]  4 Pt 3.08, 6 Si 3.12
Ce 0.1269 0.5000 0.7986 [4 per cell]  1 Ce 2.80, 5 Si 2.99-3.08
Ce 0.1948 0.5000 0.6046 [4 per cell]  1 Ce 2.80, 3 Pt 3.04-3.11, 4 Si 3.09-3.11
Si 0.0000 0.0000 0.5000 [2 per cell]  2 Si 2.46
Si 0.0652 0.0000 0.3364 [4 per cell]  2 Pt 2.44, 1 Si 2.46
Si 0.1948 0.5000 0.1246 [4 per cell]  1 Pt 2.48
Pt 0.1105 0.5000 0.2661 [4 per cell]  3 Si 2.44-2.48

Calculated values
- ΔE_f (raw) (eV/atom) = -0.84


Here is a relaxed structure of ZrTaP from the Alexandria database. Energies are from GGA-PBE.

Cell lengths 12.3449, 3.5718, 7.0827 Å; angles 90.00, 90.00, 90.00 degrees
With the nearest neighbours (Å) after each atom.
Space group Pmma (No. 51)
Symmetry-distinct sites (fractional):
Zr 0.0511 0.0000 0.2116 [4 per cell]  5 P 2.77-2.91, 4 Ta 3.04-3.09
Zr 0.2500 0.0000 0.8187 [2 per cell]  5 P 2.65-2.75
Ta 0.1147 0.5000 0.5500 [4 per cell]  3 P 2.59-2.63
Ta 0.2500 0.5000 0.1785 [2 per cell]  4 P 2.53-2.58
P 0.1027 0.5000 0.9201 [4 per cell]  2 Ta 2.58-2.63, 6 Zr 2.65-2.80, 1 P 2.78
P 0.2500 0.0000 0.4311 [2 per cell]  6 Ta 2.53-2.59, 1 Zr 2.75

Calculated values
- formation energy from the elements (meV/atom) = -883


| no. | M_tot (Bohr magnetons per cell) | V (Å³ per atom) | E_tot (eV/f.u.) |
| --- | --- | --- | --- |
| 1 | 0.0 | 15.82 | -24.45 |
| 2 | 2.8 | 21.83 | -78.89 |
| 3 | 0.0 | 17.35 | -28.46 |